A plane-wave DFT calculation with PBE was carried out for a geometry-optimized ScP2PbS structure.

Results
E_form (uncorrected)	3.68	eV per formula unit
energy	-21.31	eV for the cell shown

Geometry as CIF:
```
data_ScP2PbS
_chemical_formula_sum 'Sc1 P2 Pb1 S1'
_space_group_name_H-M_alt 'P 4/m m m'
_space_group_IT_number 123
_space_group_name_Hall '-P 4 2'
_cell_length_a 5.070
_cell_length_b 5.070
_cell_length_c 5.137
_cell_angle_alpha 90.00
_cell_angle_beta 90.00
_cell_angle_gamma 90.00
loop_
_atom_site_label
_atom_site_type_symbol
_atom_site_fract_x
_atom_site_fract_y
_atom_site_fract_z
Sc1 Sc 0.000 0.000 0.000
P1 P 0.000 0.500 0.500
Pb1 Pb 0.500 0.500 0.500
S1 S 0.500 0.500 0.000
```

=====

A plane-wave DFT calculation with PBE was carried out for a geometry-optimized P2PbSeS structure.

Results
relative energy among the computed polymorphs	482	meV/atom
E_form (uncorrected)	6.86	eV per formula unit
energy	-15.28	eV for the cell shown

Geometry as CIF:
```
data_P2PbSeS
_chemical_formula_sum 'P2 Pb1 Se1 S1'
_space_group_name_H-M_alt 'P 4/m m m'
_space_group_IT_number 123
_space_group_name_Hall '-P 4 2'
_cell_length_a 5.298
_cell_length_b 5.298
_cell_length_c 5.025
_cell_angle_alpha 90.00
_cell_angle_beta 90.00
_cell_angle_gamma 90.00
loop_
_atom_site_label
_atom_site_type_symbol
_atom_site_fract_x
_atom_site_fract_y
_atom_site_fract_z
P1 P 0.000 0.500 0.000
Pb1 Pb 0.000 0.000 0.000
Se1 Se 0.500 0.500 0.500
S1 S 0.000 0.000 0.500
```

=====

A plane-wave DFT calculation with PBE was carried out for a geometry-optimized PPbSeS2 structure.

Results
relative energy among the computed polymorphs	0	meV/atom
E_form (uncorrected)	2.21	eV per formula unit
energy	-18.64	eV for the cell shown

Geometry as CIF:
```
data_PPbSeS2
_chemical_formula_sum 'P1 Pb1 Se1 S2'
_space_group_name_H-M_alt 'P 4/m m m'
_space_group_IT_number 123
_space_group_name_Hall '-P 4 2'
_cell_length_a 4.883
_cell_length_b 4.883
_cell_length_c 4.828
_cell_angle_alpha 90.00
_cell_angle_beta 90.00
_cell_angle_gamma 90.00
loop_
_atom_site_label
_atom_site_type_symbol
_atom_site_fract_x
_atom_site_fract_y
_atom_site_fract_z
P1 P 0.000 0.000 0.000
Pb1 Pb 0.500 0.500 0.000
Se1 Se 0.000 0.000 0.500
S1 S 0.000 0.500 0.500
```

=====

A plane-wave DFT calculation with PBE was carried out for a geometry-optimized P2PbSeS structure.

Results
relative energy among the computed polymorphs	0	meV/atom
E_form (uncorrected)	4.45	eV per formula unit
energy	-17.69	eV for the cell shown

Geometry as CIF:
```
data_P2PbSeS
_chemical_formula_sum 'P2 Pb1 Se1 S1'
_space_group_name_H-M_alt 'P 4/m m m'
_space_group_IT_number 123
_space_group_name_Hall '-P 4 2'
_cell_length_a 5.294
_cell_length_b 5.294
_cell_length_c 5.393
_cell_angle_alpha 90.00
_cell_angle_beta 90.00
_cell_angle_gamma 90.00
loop_
_atom_site_label
_atom_site_type_symbol
_atom_site_fract_x
_atom_site_fract_y
_atom_site_fract_z
P1 P 0.000 0.500 0.000
Pb1 Pb 0.000 0.000 0.500
Se1 Se 0.500 0.500 0.000
S1 S 0.500 0.500 0.500
```

=====

A plane-wave DFT calculation with PBE was carried out for a geometry-optimized PPbSeS2 structure.

Results
relative energy among the computed polymorphs	725	meV/atom
E_form (uncorrected)	5.84	eV per formula unit
energy	-15.02	eV for the cell shown

Geometry as CIF:
```
data_PPbSeS2
_chemical_formula_sum 'P1 Pb1 Se1 S2'
_space_group_name_H-M_alt 'P 4/m m m'
_space_group_IT_number 123
_space_group_name_Hall '-P 4 2'
_cell_length_a 5.082
_cell_length_b 5.082
_cell_length_c 5.544
_cell_angle_alpha 90.00
_cell_angle_beta 90.00
_cell_angle_gamma 90.00
loop_
_atom_site_label
_atom_site_type_symbol
_atom_site_fract_x
_atom_site_fract_y
_atom_site_fract_z
P1 P 0.000 0.000 0.000
Pb1 Pb 0.000 0.000 0.500
Se1 Se 0.500 0.500 0.000
S1 S 0.000 0.500 0.500
```

=====

A plane-wave DFT calculation with PBE was carried out for a geometry-optimized SiPPbS2 structure.

Results
relative energy among the computed polymorphs	1033	meV/atom
E_form (uncorrected)	5.89	eV per formula unit
energy	-16.91	eV for the cell shown

Geometry as CIF:
```
data_SiPPbS2
_chemical_formula_sum 'Si1 P1 Pb1 S2'
_space_group_name_H-M_alt 'P 4/m m m'
_space_group_IT_number 123
_space_group_name_Hall '-P 4 2'
_cell_length_a 5.132
_cell_length_b 5.132
_cell_length_c 5.152
_cell_angle_alpha 90.00
_cell_angle_beta 90.00
_cell_angle_gamma 90.00
loop_
_atom_site_label
_atom_site_type_symbol
_atom_site_fract_x
_atom_site_fract_y
_atom_site_fract_z
Si1 Si 0.000 0.000 0.000
P1 P 0.500 0.500 0.000
Pb1 Pb 0.500 0.500 0.500
S1 S 0.000 0.500 0.500
```